1.
{
  "formula": "Ge3As5S12",
  "functional": "PBE",
  "state": "optimized geometry",
  "magmom_total_mub_per_cell": 0.00,
  "energy_ev_per_fu": -85.05,
  "vol_a3_per_cell": 1805,
  "lattice_angstrom": [[13.284, 0.000, 0.000], [-4.428, 12.524, 0.000], [-4.428, -6.262, 10.846]],
  "species": ["S", "S", "S", "S", "S", "S", "S", "S", "S", "S", "S", "S", "S", "S", "S", "S", "S", "S", "S", "S", "S", "S", "S", "S", "S", "S", "S", "S", "S", "S", "S", "S", "S", "S", "S", "S", "S", "S", "S", "S", "S", "S", "S", "S", "S", "S", "S", "S", "As", "As", "As", "As", "As", "As", "As", "As", "As", "As", "As", "As", "As", "As", "As", "As", "As", "As", "As", "As", "Ge", "Ge", "Ge", "Ge", "Ge", "Ge", "Ge", "Ge", "Ge", "Ge", "Ge", "Ge"],
  "frac_coords": [[0.374, 0.409, 0.086], [0.713, 0.126, 0.035], [0.535, 0.213, 0.126], [0.035, 0.409, 0.822], [0.678, 0.465, 0.591], [0.287, 0.874, 0.965], [0.322, 0.787, 0.414], [0.535, 0.322, 0.909], [0.374, 0.965, 0.787], [0.126, 0.414, 0.091], [0.414, 0.287, 0.322], [0.126, 0.713, 0.535], [0.874, 0.586, 0.909], [0.586, 0.874, 0.409], [0.909, 0.086, 0.874], [0.591, 0.965, 0.678], [0.091, 0.914, 0.126], [0.178, 0.086, 0.713], [0.965, 0.374, 0.287], [0.465, 0.678, 0.091], [0.787, 0.322, 0.914], [0.909, 0.822, 0.535], [0.586, 0.713, 0.678], [0.914, 0.822, 0.787], [0.626, 0.035, 0.213], [0.874, 0.287, 0.465], [0.322, 0.535, 0.409], [0.213, 0.678, 0.086], [0.787, 0.465, 0.374], [0.086, 0.909, 0.374], [0.591, 0.626, 0.414], [0.822, 0.909, 0.035], [0.409, 0.035, 0.322], [0.213, 0.535, 0.626], [0.678, 0.213, 0.586], [0.626, 0.591, 0.914], [0.965, 0.591, 0.178], [0.822, 0.914, 0.287], [0.287, 0.414, 0.822], [0.035, 0.626, 0.713], [0.091, 0.178, 0.465], [0.086, 0.178, 0.213], [0.414, 0.126, 0.591], [0.409, 0.374, 0.586], [0.914, 0.091, 0.626], [0.713, 0.586, 0.178], [0.465, 0.787, 0.874], [0.178, 0.091, 0.965], [0.000, 0.000, 0.500], [0.875, 0.625, 0.750], [0.250, 0.375, 0.625], [0.875, 0.250, 0.625], [0.500, 0.000, 0.000], [0.500, 0.500, 0.000], [0.375, 0.125, 0.750], [0.625, 0.750, 0.875], [0.500, 0.000, 0.500], [0.500, 0.500, 0.500], [0.125, 0.750, 0.375], [0.125, 0.375, 0.250], [0.750, 0.625, 0.375], [0.000, 0.000, 0.000], [0.750, 0.125, 0.875], [0.250, 0.875, 0.125], [0.000, 0.500, 0.500], [0.000, 0.500, 0.000], [0.375, 0.250, 0.125], [0.625, 0.875, 0.250], [0.375, 0.750, 0.625], [0.625, 0.250, 0.375], [0.375, 0.625, 0.250], [0.625, 0.375, 0.750], [0.250, 0.125, 0.375], [0.250, 0.625, 0.875], [0.875, 0.750, 0.125], [0.750, 0.875, 0.625], [0.750, 0.375, 0.125], [0.125, 0.875, 0.750], [0.875, 0.125, 0.250], [0.125, 0.250, 0.875]]
}

2.
{
  "formula": "ScAlTc3",
  "functional": "PBE",
  "state": "optimized geometry",
  "e_form_ev_per_atom": 0.891,
  "magmom_total_mub_per_cell": 0.52,
  "vol_a3_per_cell": 91,
  "polymorph_energy_mev_per_atom": 0,
  "lattice_angstrom": [[4.500, 0.000, 0.000], [0.000, 4.500, 0.000], [0.000, 0.000, 4.500]],
  "species": ["Al", "Tc", "Tc", "Tc", "Sc"],
  "frac_coords": [[0.000, 0.000, 0.000], [0.500, 0.000, 0.000], [0.000, 0.500, 0.000], [0.000, 0.000, 0.500], [0.500, 0.500, 0.500]]
}